# Mn3AlOs

An optimized crystal structure of Mn3AlOs (PBE, Alexandria). Values from VASP.

- crystal system = cubic
- total magnetization (Bohr magnetons per cell) = 8.93
- energy relative to the elements (eV/atom) = 1.2041

The structure in Quantum ESPRESSO input format:
```
&SYSTEM
  ibrav = 0, nat = 5, ntyp = 3
/
ATOMIC_SPECIES
Os 190.23 Os.upf
Mn 54.94 Mn.upf
Al 26.98 Al.upf
CELL_PARAMETERS angstrom
4.614 0.000 0.000
0.000 4.614 0.000
0.000 0.000 4.614
ATOMIC_POSITIONS crystal
Os 0.000 0.000 0.000
Mn 0.000 0.500 0.000
Al 0.500 0.500 0.500
Mn 0.000 0.000 0.500
Mn 0.500 0.000 0.000
```

# ZnPOs

An optimized crystal structure of ZnPOs (PBE, Alexandria). Values from VASP.

- crystal system = orthorhombic
- total magnetization (Bohr magnetons per cell) = 0.00
- energy relative to the elements (eV/atom) = 0.0098

The structure in Quantum ESPRESSO input format:
```
&SYSTEM
  ibrav = 0, nat = 18, ntyp = 3
/
ATOMIC_SPECIES
P 30.97 P.upf
Zn 65.41 Zn.upf
Os 190.23 Os.upf
CELL_PARAMETERS angstrom
-1.276 2.081 -6.055
-5.955 -2.927 -3.271
-6.374 3.638 -0.926
ATOMIC_POSITIONS crystal
P 0.526 0.000 0.000
P 0.526 0.500 0.500
Zn 0.858 0.750 0.250
P 0.988 0.634 0.634
P 0.988 0.134 0.134
Zn 0.257 0.950 0.450
P 0.255 0.366 0.366
Zn 0.858 0.250 0.750
Zn 0.257 0.450 0.950
Os 0.590 0.167 0.167
Zn 0.657 0.550 0.050
Os 0.257 0.750 0.250
Os 0.924 0.833 0.833
P 0.255 0.866 0.866
Os 0.924 0.333 0.333
Os 0.590 0.667 0.667
Zn 0.657 0.050 0.550
Os 0.258 0.250 0.750
```

# Be2CdOsPd

An optimized crystal structure of Be2CdOsPd (PBE, Alexandria). Values from VASP.

- crystal system = tetragonal
- total magnetization (Bohr magnetons per cell) = 1.42
- energy relative to the elements (eV/atom) = 1.6850

The structure in Quantum ESPRESSO input format:
```
&SYSTEM
  ibrav = 0, nat = 5, ntyp = 4
/
ATOMIC_SPECIES
Be 9.01 Be.upf
Pd 106.42 Pd.upf
Os 190.23 Os.upf
Cd 112.41 Cd.upf
CELL_PARAMETERS angstrom
4.246 0.000 0.000
0.000 4.960 0.000
0.000 0.000 4.246
ATOMIC_POSITIONS crystal
Be 0.500 0.000 0.000
Be 0.000 0.000 0.500
Pd 0.500 0.500 0.500
Os 0.000 0.500 0.000
Cd 0.000 0.000 0.000
```

# K2SbW

An optimized crystal structure of K2SbW (PBE, Alexandria). Values from VASP.

- raw total energy (eV per cell) = -15.25
- crystal system = orthorhombic
- total magnetization (Bohr magnetons per cell) = 0.00

The structure in Quantum ESPRESSO input format:
```
&SYSTEM
  ibrav = 0, nat = 4, ntyp = 3
/
ATOMIC_SPECIES
W 183.84 W.upf
Sb 121.76 Sb.upf
K 39.10 K.upf
CELL_PARAMETERS angstrom
3.056 0.000 0.000
0.000 5.902 0.000
0.000 0.000 5.796
ATOMIC_POSITIONS crystal
W 0.500 0.500 0.750
Sb 0.500 0.500 0.250
K 0.000 0.000 0.502
K 0.000 0.000 0.998
```

# Ta2InCu

An optimized crystal structure of Ta2InCu (PBE, Alexandria). Values from VASP.

- crystal system = tetragonal
- total magnetization (Bohr magnetons per cell) = 0.00
- energy relative to the elements (eV/atom) = 0.2230

The structure in Quantum ESPRESSO input format:
```
&SYSTEM
  ibrav = 0, nat = 4, ntyp = 3
/
ATOMIC_SPECIES
Ta 180.95 Ta.upf
In 114.82 In.upf
Cu 63.55 Cu.upf
CELL_PARAMETERS angstrom
3.451 0.000 0.000
0.000 3.451 0.000
0.000 0.000 6.097
ATOMIC_POSITIONS crystal
Ta 0.000 0.000 0.031
Ta 0.500 0.500 0.242
In 0.500 0.500 0.735
Cu 0.000 0.000 0.493
```

# NaIr4Rh2

An optimized crystal structure of NaIr4Rh2 (PBE, Alexandria). Values from VASP.

- crystal system = tetragonal
- total magnetization (Bohr magnetons per cell) = 3.07
- energy relative to the elements (eV/atom) = 1.8878

The structure in Quantum ESPRESSO input format:
```
&SYSTEM
  ibrav = 0, nat = 7, ntyp = 3
/
ATOMIC_SPECIES
Rh 102.91 Rh.upf
Ir 192.22 Ir.upf
Na 22.99 Na.upf
CELL_PARAMETERS angstrom
4.545 0.000 0.000
0.000 4.545 0.000
2.272 2.272 6.224
ATOMIC_POSITIONS crystal
Rh 0.609 0.609 0.781
Rh 0.391 0.391 0.219
Ir 0.798 0.798 0.405
Ir 0.500 0.000 0.000
Na 0.000 0.000 0.000
Ir 0.202 0.202 0.595
Ir 0.000 0.500 0.000
```